Version 1
## KMg3B (meta-GGA SCAN)

Data for a crystal of KMg3B relaxed with PBEsol.

Density of states at the Fermi level ... 3.78 states/eV per cell
Space-group type ... No. 221

abc: 6.132 6.132 6.132
angles: 90.00 90.00 90.00
Fractional positions:
K1 0.000 0.000 0.000
Mg1 0.000 0.000 0.500
Mg2 0.000 0.500 0.000
Mg3 0.500 0.000 0.000
B1 0.500 0.500 0.500

---

Version 2
## KMg3B (meta-GGA SCAN)

Data for a crystal of KMg3B relaxed with PBEsol.

Density of states at the Fermi level ... 2.18 states/eV per cell
Space-group type ... No. 221

abc: 4.837 4.837 4.837
angles: 90.00 90.00 90.00
Fractional positions:
K1 0.000 0.000 0.000
Mg1 0.000 0.500 0.500
Mg2 0.500 0.000 0.500
Mg3 0.500 0.500 0.000
B1 0.500 0.500 0.500

---

Which of them is most stable? Easy: version 2.